Sc2BBr | PBE-GGA | relaxed

Geometry as POSCAR:
```
Sc2BBr
1.0
1.8635 1.0759 7.5858
-1.8635 1.0759 7.5858
0.0000 -2.1518 7.5858
Sc B Br
2 1 1
Cartesian
0.0000 0.0000 2.6508 Sc
0.0000 0.0000 20.1066 Sc
0.0000 0.0000 11.3787 B
0.0000 0.0000 0.0000 Br
```

Summary:
**Total moment**: 0.00 μB per formula unit
**DOS(E_F)**: 0.00 states/eV/f.u.
**Excess energy over the best structure of this formula in the dataset**: 0.000 eV/atom
**V**: 91.3 Å³ per cell
**E_tot**: -23.64 eV per formula unit

CsMo2Au | PBE-GGA | relaxed

Geometry as POSCAR:
```
CsMo2Au
1.0
-2.1588 2.1588 10.5517
2.1588 -2.1588 10.5517
2.1588 2.1588 -10.5517
Cs Mo Au
2 4 2
Cartesian
0.0000 0.0000 0.0000 Cs
0.0000 2.1588 5.2759 Cs
1.0794 -0.6392 7.9138 Mo
1.5197 1.0794 2.6379 Mo
1.0794 2.7980 -2.6379 Mo
0.6392 1.0794 13.1896 Mo
2.1588 0.0000 5.2759 Au
0.0000 0.0000 10.5517 Au
```

Summary:
**Total moment**: 0.00 μB per formula unit
**DOS(E_F)**: 4.82 states/eV/f.u.
**Excess energy over the best structure of this formula in the dataset**: 0.000 eV/atom
**V**: 196.7 Å³ per cell
**E_tot**: -20.02 eV per formula unit
**Formation enthalpy at 0 K**: 1.4432 eV/atom

Sm2Ta2N5 | PBE-GGA | relaxed

Geometry as POSCAR:
```
Sm2Ta2N5
1.0
5.8566 -1.7150 0.0000
5.8566 1.7150 0.0000
-2.1531 0.0000 6.1804
Sm Ta N
2 2 5
Cartesian
1.5489 0.0000 1.3374 Sm
8.0112 0.0000 4.8430 Sm
4.5823 0.0000 1.6290 Ta
4.9778 0.0000 4.5515 Ta
0.0666 0.0000 5.1181 N
3.3461 0.0000 3.3906 N
5.8566 0.0000 0.0000 N
6.2140 0.0000 2.7899 N
9.4935 0.0000 1.0623 N
```

Summary:
**Total moment**: 0.00 μB per formula unit
**DOS(E_F)**: 2.92 states/eV/f.u.
**V**: 124.2 Å³ per cell
**E_tot**: -86.01 eV per formula unit

Rb2TcN | PBE-GGA | relaxed

Geometry as POSCAR:
```
Rb2TcN
1.0
-6.1450 6.1450 1.9225
6.1450 -6.1450 1.9225
6.1450 6.1450 -1.9225
Rb Tc N
4 2 2
Cartesian
0.4476 3.0725 0.4806 Rb
-3.0725 5.6974 1.4419 Rb
-0.4476 9.2176 0.4806 Rb
3.0725 6.5927 1.4419 Rb
6.1450 0.0000 0.9612 Tc
0.0000 0.0000 1.9225 Tc
0.0000 0.0000 0.0000 N
0.0000 6.1450 0.9612 N
```

Summary:
**Total moment**: 1.02 μB per formula unit
**DOS(E_F)**: 3.02 states/eV/f.u.
**V**: 290.4 Å³ per cell
**E_tot**: -18.84 eV per formula unit

CoNiBr2 | PBE-GGA | relaxed

Geometry as POSCAR:
```
CoNiBr2
1.0
2.0505 -3.0003 0.0000
2.0505 3.0003 0.0000
0.0000 0.0000 7.4894
Co Ni Br
1 1 2
Cartesian
0.0000 0.0000 0.0000 Co
2.0505 0.0000 6.4460 Ni
0.0000 0.0000 5.0323 Br
2.0505 0.0000 1.4506 Br
```

Summary:
**Total moment**: 3.00 μB per formula unit
**DOS(E_F)**: 6.00 states/eV/f.u.
**Excess energy over the best structure of this formula in the dataset**: 0.121 eV/atom
**V**: 92.2 Å³ per cell
**E_tot**: -15.53 eV per formula unit

NaAgBrCl | PBE-GGA | relaxed

Geometry as POSCAR:
```
NaAgBrCl
1.0
5.9907 0.0000 0.0000
0.0000 2.3638 4.0821
0.0000 -2.3638 4.0821
Na Ag Br Cl
1 1 1 1
Cartesian
0.0000 0.0000 0.0000 Na
2.9953 0.0000 2.7272 Ag
2.9953 0.0000 0.0012 Br
0.0000 0.0000 2.7252 Cl
```

Summary:
**Total moment**: 0.00 μB per formula unit
**DOS(E_F)**: 0.00 states/eV/f.u.
**Excess energy over the best structure of this formula in the dataset**: 0.000 eV/atom
**V**: 115.6 Å³ per cell
**E_tot**: -11.79 eV per formula unit

La2CdGe | PBE-GGA | relaxed

Geometry as POSCAR:
```
La2CdGe
1.0
2.2156 1.2792 7.8913
-2.2156 1.2792 7.8913
0.0000 -2.5583 7.8913
La Cd Ge
2 1 1
Cartesian
0.0000 0.0000 5.5848 La
0.0000 0.0000 18.0891 La
0.0000 0.0000 0.0000 Cd
0.0000 0.0000 11.8370 Ge
```

Summary:
**Total moment**: 0.77 μB per formula unit
**DOS(E_F)**: 4.58 states/eV/f.u.
**V**: 134.2 Å³ per cell
**E_tot**: -17.19 eV per formula unit
**Formation enthalpy at 0 K**: -0.4499 eV/atom

Cs2RbTcCl6 | PBE-GGA | relaxed

Geometry as POSCAR:
```
Cs2RbTcCl6
1.0
3.7554 2.1682 15.1686
-3.7554 2.1682 15.1686
0.0000 -4.3363 15.1686
Cs Rb Tc Cl
4 2 2 12
Cartesian
0.0000 0.0000 6.3402 Cs
0.0000 0.0000 13.9442 Cs
0.0000 0.0000 31.5617 Cs
0.0000 0.0000 39.1657 Cs
0.0000 0.0000 18.8058 Rb
0.0000 0.0000 26.7001 Rb
0.0000 0.0000 0.0000 Tc
0.0000 0.0000 22.7530 Tc
-1.7239 -0.9953 21.3530 Cl
0.0000 -2.3636 16.5839 Cl
-2.0469 1.1818 16.5839 Cl
-2.0469 -1.1818 28.9220 Cl
0.0000 -1.9906 24.1529 Cl
-1.7239 0.9953 24.1529 Cl
1.7239 -0.9953 21.3530 Cl
0.0000 1.9906 21.3530 Cl
2.0469 1.1818 16.5839 Cl
2.0469 -1.1818 28.9221 Cl
0.0000 2.3636 28.9221 Cl
1.7239 0.9953 24.1529 Cl
```

Summary:
**Total moment**: 2.00 μB per formula unit
**DOS(E_F)**: 6.22 states/eV/f.u.
**V**: 741.0 Å³ per cell
**E_tot**: -38.58 eV per formula unit

Mn2RuSe | PBE-GGA | relaxed

Geometry as POSCAR:
```
Mn2RuSe
1.0
-1.9551 1.9551 3.8372
1.9551 -1.9551 3.8372
1.9551 1.9551 -3.8372
Mn Ru Se
2 1 1
Cartesian
1.9551 0.0000 1.9186 Mn
0.0000 1.9551 1.9186 Mn
0.0000 0.0000 0.0000 Ru
0.0000 0.0000 3.8372 Se
```

Summary:
**Total moment**: 7.30 μB per formula unit
**DOS(E_F)**: 4.86 states/eV/f.u.
**V**: 58.7 Å³ per cell
**E_tot**: -29.87 eV per formula unit

La4Pm2DyY2 | PBE-GGA | relaxed

Geometry as POSCAR:
```
La4Pm2DyY2
1.0
9.5159 -1.8312 0.0000
9.5159 1.8312 0.0000
-0.0155 0.0000 8.9925
La Pm Dy Y
4 2 1 2
Cartesian
1.0436 0.0000 1.5518 La
5.2575 0.0000 7.4532 La
13.7588 0.0000 1.5393 La
17.9727 0.0000 7.4407 La
7.4046 0.0000 1.5262 Pm
11.6117 0.0000 7.4663 Pm
9.5082 0.0000 4.4962 Dy
3.1461 0.0000 4.5143 Y
15.8702 0.0000 4.4782 Y
```

Summary:
**Total moment**: 0.00 μB per formula unit
**DOS(E_F)**: 16.90 states/eV/f.u.
**V**: 313.4 Å³ per cell
**E_tot**: -46.53 eV per formula unit
**Formation enthalpy at 0 K**: 0.0234 eV/atom

BaGdAg2 | PBE-GGA | relaxed

Geometry as POSCAR:
```
BaGdAg2
1.0
3.8625 0.0000 0.0000
0.0000 3.8625 0.0000
0.0000 0.0000 7.8604
Ba Gd Ag
1 1 2
Cartesian
0.0000 0.0000 0.0000 Ba
0.0000 0.0000 3.9302 Gd
1.9312 1.9312 2.3701 Ag
1.9312 1.9312 5.4903 Ag
```

Summary:
**Total moment**: 7.22 μB per formula unit
**DOS(E_F)**: 4.65 states/eV/f.u.
**V**: 117.3 Å³ per cell
**E_tot**: -22.68 eV per formula unit
**Formation enthalpy at 0 K**: -0.2432 eV/atom

LiTaPt | PBE-GGA | relaxed

Geometry as POSCAR:
```
LiTaPt
1.0
-1.5752 1.5752 10.2438
1.5752 -1.5752 10.2438
1.5752 1.5752 -10.2438
Li Ta Pt
2 2 2
Cartesian
0.0000 0.0000 4.3838 Li
0.0000 0.0000 16.1037 Li
0.0000 0.0000 1.3364 Ta
0.0000 0.0000 19.1511 Ta
0.0000 0.0000 7.4147 Pt
0.0000 0.0000 13.0728 Pt
```

Summary:
**Total moment**: 0.00 μB per formula unit
**DOS(E_F)**: 1.78 states/eV/f.u.
**Excess energy over the best structure of this formula in the dataset**: 0.129 eV/atom
**V**: 101.7 Å³ per cell
**E_tot**: -20.39 eV per formula unit
**Formation enthalpy at 0 K**: -0.1942 eV/atom

Which formula does entry 3 have?
Sm2Ta2N5